! RbAgPd2 | the Alexandria database | PBE | relaxed; values from VASP
! Excess energy over the best structure of this formula in the dataset ... 68 meV/atom
! Volume ... 21.08 Å³ per atom
! E_form ... 39.1 kJ per mole of atoms
! Total magnetization ... 0.00 μB per cell
&SYSTEM
  ibrav = 0, nat = 4, ntyp = 3
/
ATOMIC_SPECIES
Rb 85.47 Rb.upf
Ag 107.87 Ag.upf
Pd 106.42 Pd.upf
ATOMIC_POSITIONS crystal
Rb 0.0000 0.0000 0.0000
Ag 0.5000 0.5000 0.5000
Pd 0.2500 0.2500 0.2500
Pd 0.7500 0.7500 0.7500
CELL_PARAMETERS angstrom
0.0000 3.4806 3.4806
3.4806 0.0000 3.4806
3.4806 3.4806 0.0000



! RbAgPd | the Alexandria database | PBE | relaxed; values from VASP
! Excess energy over the best structure of this formula in the dataset ... 183 meV/atom
! Volume ... 31.42 Å³ per atom
! E_form ... 17.7 kJ per mole of atoms
! Total magnetization ... 0.00 μB per cell
&SYSTEM
  ibrav = 0, nat = 3, ntyp = 3
/
ATOMIC_SPECIES
Rb 85.47 Rb.upf
Ag 107.87 Ag.upf
Pd 106.42 Pd.upf
ATOMIC_POSITIONS crystal
Rb 0.0000 0.0000 0.0000
Ag 0.6667 0.3333 0.5000
Pd 0.3333 0.6667 0.5000
CELL_PARAMETERS angstrom
4.5922 0.0000 0.0000
-2.2961 3.9770 0.0000
0.0000 0.0000 5.1609



! Rb3Ag4Pd2 | the Alexandria database | PBE | relaxed; values from VASP
! Volume ... 29.87 Å³ per atom
! E_form ... 2.2 kJ per mole of atoms
! Total magnetization ... 0.00 μB per cell
&SYSTEM
  ibrav = 0, nat = 9, ntyp = 3
/
ATOMIC_SPECIES
Rb 85.47 Rb.upf
Ag 107.87 Ag.upf
Pd 106.42 Pd.upf
ATOMIC_POSITIONS crystal
Rb 0.0000 0.0000 0.0000
Rb 0.3756 0.3756 0.6311
Rb 0.6244 0.6244 0.3689
Ag 0.0881 0.0881 0.6341
Ag 0.2443 0.2443 0.9204
Ag 0.7557 0.7557 0.0796
Ag 0.9119 0.9119 0.3659
Pd 0.3241 0.3241 0.2274
Pd 0.6759 0.6759 0.7726
CELL_PARAMETERS angstrom
6.1707 -2.4013 0.0000
6.1707 2.4013 0.0000
-3.0148 0.0000 9.0703



! RbAgPdSe2 | the Alexandria database | PBE | relaxed; values from VASP
! Excess energy over the best structure of this formula in the dataset ... 0 meV/atom
! Energy relative to the elements, uncorrected ... -0.4235 eV/atom
! Volume ... 26.73 Å³ per atom
! Total magnetization ... 0.00 μB per cell
&SYSTEM
  ibrav = 0, nat = 10, ntyp = 4
/
ATOMIC_SPECIES
Rb 85.47 Rb.upf
Ag 107.87 Ag.upf
Pd 106.42 Pd.upf
Se 78.96 Se.upf
ATOMIC_POSITIONS crystal
Rb 0.2500 0.7500 0.7861
Rb 0.7500 0.2500 0.2139
Ag 0.0000 0.0000 0.0000
Ag 0.5000 0.5000 0.0000
Pd 0.2500 0.2500 0.5000
Pd 0.7500 0.7500 0.5000
Se 0.1172 0.8828 0.3189
Se 0.3828 0.6172 0.3189
Se 0.6172 0.3828 0.6811
Se 0.8828 0.1172 0.6811
CELL_PARAMETERS angstrom
3.1352 -7.3214 0.0000
3.1352 7.3214 0.0000
0.0000 0.0000 5.8217



! RbAgPdSe2 | the Alexandria database | PBE | relaxed; values from VASP
! Excess energy over the best structure of this formula in the dataset ... 1753 meV/atom
! Energy relative to the elements, uncorrected ... 1.3296 eV/atom
! Volume ... 37.91 Å³ per atom
! Total magnetization ... 0.00 μB per cell
&SYSTEM
  ibrav = 0, nat = 5, ntyp = 4
/
ATOMIC_SPECIES
Rb 85.47 Rb.upf
Ag 107.87 Ag.upf
Pd 106.42 Pd.upf
Se 78.96 Se.upf
ATOMIC_POSITIONS crystal
Rb 0.0000 0.0000 0.0000
Ag 0.0000 0.0000 0.5000
Pd 0.5000 0.5000 0.5000
Se 0.0000 0.5000 0.0000
Se 0.5000 0.0000 0.0000
CELL_PARAMETERS angstrom
5.8472 0.0000 0.0000
0.0000 5.8472 0.0000
0.0000 0.0000 5.5446



! RbTaAg2Pd | the Alexandria database | PBE | relaxed; values from VASP
! Excess energy over the best structure of this formula in the dataset ... 1284 meV/atom
! Volume ... 28.59 Å³ per atom
! E_form ... 205.4 kJ per mole of atoms
! Total magnetization ... 3.31 μB per cell
&SYSTEM
  ibrav = 0, nat = 5, ntyp = 4
/
ATOMIC_SPECIES
Rb 85.47 Rb.upf
Ta 180.95 Ta.upf
Ag 107.87 Ag.upf
Pd 106.42 Pd.upf
ATOMIC_POSITIONS crystal
Rb 0.0000 0.0000 0.0000
Ta 0.5000 0.5000 0.5000
Ag 0.0000 0.5000 0.0000
Ag 0.5000 0.0000 0.0000
Pd 0.0000 0.0000 0.5000
CELL_PARAMETERS angstrom
5.3612 0.0000 0.0000
0.0000 5.3612 0.0000
0.0000 0.0000 4.9731



! RbTaAg2Pd | the Alexandria database | PBE | relaxed; values from VASP
! Excess energy over the best structure of this formula in the dataset ... 0 meV/atom
! Volume ... 29.04 Å³ per atom
! E_form ... 81.5 kJ per mole of atoms
! Total magnetization ... 0.00 μB per cell
&SYSTEM
  ibrav = 0, nat = 5, ntyp = 4
/
ATOMIC_SPECIES
Rb 85.47 Rb.upf
Ta 180.95 Ta.upf
Ag 107.87 Ag.upf
Pd 106.42 Pd.upf
ATOMIC_POSITIONS crystal
Rb 0.0000 0.0000 0.0000
Ta 0.5000 0.5000 0.5000
Ag 0.0000 0.5000 0.5000
Ag 0.5000 0.0000 0.5000
Pd 0.5000 0.5000 0.0000
CELL_PARAMETERS angstrom
5.4002 0.0000 0.0000
0.0000 5.4002 0.0000
0.0000 0.0000 4.9786



! RbAgTe2Pd | the Alexandria database | PBE | relaxed; values from VASP
! Energy relative to the elements, uncorrected ... -0.3980 eV/atom
! Volume ... 34.16 Å³ per atom
! Total magnetization ... 0.00 μB per cell
&SYSTEM
  ibrav = 0, nat = 10, ntyp = 4
/
ATOMIC_SPECIES
Rb 85.47 Rb.upf
Ag 107.87 Ag.upf
Te 127.60 Te.upf
Pd 106.42 Pd.upf
ATOMIC_POSITIONS crystal
Rb 0.2500 0.7500 0.7994
Rb 0.7500 0.2500 0.2006
Ag 0.0000 0.0000 0.5000
Ag 0.5000 0.5000 0.5000
Te 0.0916 0.9084 0.2113
Te 0.4084 0.5916 0.2113
Te 0.5916 0.4084 0.7887
Te 0.9084 0.0916 0.7887
Pd 0.2500 0.2500 0.0000
Pd 0.7500 0.7500 0.0000
CELL_PARAMETERS angstrom
3.2312 -6.3147 0.0000
3.2312 6.3147 0.0000
0.0000 0.0000 8.3717



! Rb2Tl6AgPd | the Alexandria database | PBE | relaxed; values from VASP
! Volume ... 33.23 Å³ per atom
! E_form ... -2.4 kJ per mole of atoms
! Total magnetization ... 0.00 μB per cell
&SYSTEM
  ibrav = 0, nat = 20, ntyp = 4
/
ATOMIC_SPECIES
Rb 85.47 Rb.upf
Tl 204.38 Tl.upf
Ag 107.87 Ag.upf
Pd 106.42 Pd.upf
ATOMIC_POSITIONS crystal
Rb 0.1067 0.1067 0.1067
Rb 0.2790 0.2790 0.2790
Rb 0.7210 0.7210 0.7210
Rb 0.8933 0.8933 0.8933
Tl 0.0876 0.6605 0.6605
Tl 0.2215 0.2215 0.6524
Tl 0.2215 0.6524 0.2215
Tl 0.3395 0.3395 0.9124
Tl 0.3395 0.9124 0.3395
Tl 0.3476 0.7785 0.7785
Tl 0.6524 0.2215 0.2215
Tl 0.6605 0.0876 0.6605
Tl 0.6605 0.6605 0.0876
Tl 0.7785 0.3476 0.7785
Tl 0.7785 0.7785 0.3476
Tl 0.9124 0.3395 0.3395
Ag 0.4258 0.4258 0.4258
Ag 0.5742 0.5742 0.5742
Pd 0.0000 0.0000 0.0000
Pd 0.5000 0.5000 0.5000
CELL_PARAMETERS angstrom
3.8431 2.2188 12.9904
-3.8431 2.2188 12.9904
0.0000 -4.4376 12.9904



! RbTl2AgPd | the Alexandria database | PBE | relaxed; values from VASP
! Volume ... 31.41 Å³ per atom
! E_form ... -3.2 kJ per mole of atoms
! Total magnetization ... 0.00 μB per cell
&SYSTEM
  ibrav = 0, nat = 5, ntyp = 4
/
ATOMIC_SPECIES
Rb 85.47 Rb.upf
Tl 204.38 Tl.upf
Ag 107.87 Ag.upf
Pd 106.42 Pd.upf
ATOMIC_POSITIONS crystal
Rb 0.0000 0.0000 0.0000
Tl 0.0000 0.5000 0.5000
Tl 0.5000 0.0000 0.5000
Ag 0.5000 0.5000 0.0000
Pd 0.5000 0.5000 0.5000
CELL_PARAMETERS angstrom
5.3328 0.0000 0.0000
0.0000 5.3328 0.0000
0.0000 0.0000 5.5226



! RbZn2AgPd | the Alexandria database | PBE | relaxed; values from VASP
! Volume ... 26.45 Å³ per atom
! E_form ... -4.1 kJ per mole of atoms
! Total magnetization ... 0.00 μB per cell
&SYSTEM
  ibrav = 0, nat = 5, ntyp = 4
/
ATOMIC_SPECIES
Rb 85.47 Rb.upf
Zn 65.41 Zn.upf
Ag 107.87 Ag.upf
Pd 106.42 Pd.upf
ATOMIC_POSITIONS crystal
Rb 0.0000 0.0000 0.0000
Zn 0.0000 0.5000 0.5000
Zn 0.5000 0.0000 0.5000
Ag 0.5000 0.5000 0.0000
Pd 0.5000 0.5000 0.5000
CELL_PARAMETERS angstrom
4.9525 0.0000 0.0000
0.0000 4.9525 0.0000
0.0000 0.0000 5.3923



! ReAg2Pd2 | the Alexandria database | PBE | relaxed; values from VASP
! Excess energy over the best structure of this formula in the dataset ... 0 meV/atom
! Volume ... 16.68 Å³ per atom
! E_form ... 64.4 kJ per mole of atoms
! Total magnetization ... 1.61 μB per cell
&SYSTEM
  ibrav = 0, nat = 10, ntyp = 3
/
ATOMIC_SPECIES
Re 186.21 Re.upf
Ag 107.87 Ag.upf
Pd 106.42 Pd.upf
ATOMIC_POSITIONS crystal
Re 0.0000 0.0000 0.0000
Re 0.5000 0.5000 0.0000
Ag 0.1231 0.3769 0.0000
Ag 0.3769 0.8769 0.0000
Ag 0.6231 0.1231 0.0000
Ag 0.8769 0.6231 0.0000
Pd 0.1771 0.6771 0.5000
Pd 0.3229 0.1771 0.5000
Pd 0.6771 0.8229 0.5000
Pd 0.8229 0.3229 0.5000
CELL_PARAMETERS angstrom
7.7106 0.0000 0.0000
0.0000 7.7106 0.0000
0.0000 0.0000 2.8059



! ReAg2Pd2 | the Alexandria database | PBE | relaxed; values from VASP
! Excess energy over the best structure of this formula in the dataset ... 347 meV/atom
! Volume ... 18.38 Å³ per atom
! E_form ... 97.9 kJ per mole of atoms
! Total magnetization ... 3.52 μB per cell
&SYSTEM
  ibrav = 0, nat = 5, ntyp = 3
/
ATOMIC_SPECIES
Re 186.21 Re.upf
Ag 107.87 Ag.upf
Pd 106.42 Pd.upf
ATOMIC_POSITIONS crystal
Re 0.0000 0.0000 0.0000
Ag 0.4020 0.4020 0.0000
Ag 0.5980 0.5980 0.0000
Pd 0.2500 0.7500 0.5000
Pd 0.7500 0.2500 0.5000
CELL_PARAMETERS angstrom
-1.8401 1.8401 6.7853
1.8401 -1.8401 6.7853
1.8401 1.8401 -6.7853



! ReAg3Pd | the Alexandria database | PBE | relaxed; values from VASP
! Excess energy over the best structure of this formula in the dataset ... 0 meV/atom
! Volume ... 24.82 Å³ per atom
! E_form ... 165.5 kJ per mole of atoms
! Total magnetization ... 4.50 μB per cell
&SYSTEM
  ibrav = 0, nat = 5, ntyp = 3
/
ATOMIC_SPECIES
Re 186.21 Re.upf
Ag 107.87 Ag.upf
Pd 106.42 Pd.upf
ATOMIC_POSITIONS crystal
Re 0.0000 0.0000 0.0000
Ag 0.0000 0.5000 0.5000
Ag 0.5000 0.0000 0.5000
Ag 0.5000 0.5000 0.0000
Pd 0.5000 0.5000 0.5000
CELL_PARAMETERS angstrom
4.9878 0.0000 0.0000
0.0000 4.9878 0.0000
0.0000 0.0000 4.9878



! ReAgPdRh2 | the Alexandria database | PBE | relaxed; values from VASP
! Volume ... 20.65 Å³ per atom
! E_form ... 214.5 kJ per mole of atoms
! Total magnetization ... 0.65 μB per cell
&SYSTEM
  ibrav = 0, nat = 5, ntyp = 4
/
ATOMIC_SPECIES
Re 186.21 Re.upf
Ag 107.87 Ag.upf
Pd 106.42 Pd.upf
Rh 102.91 Rh.upf
ATOMIC_POSITIONS crystal
Re 0.0000 0.0000 0.0000
Ag 0.5000 0.5000 0.0000
Pd 0.5000 0.5000 0.5000
Rh 0.0000 0.5000 0.5000
Rh 0.5000 0.0000 0.5000
CELL_PARAMETERS angstrom
4.6657 0.0000 0.0000
0.0000 4.6657 0.0000
0.0000 0.0000 4.7425



! Re2AgSnPd | the Alexandria database | PBE | relaxed; values from VASP
! Volume ... 22.65 Å³ per atom
! E_form ... 181.4 kJ per mole of atoms
! Total magnetization ... 2.80 μB per cell
&SYSTEM
  ibrav = 0, nat = 5, ntyp = 4
/
ATOMIC_SPECIES
Re 186.21 Re.upf
Ag 107.87 Ag.upf
Sn 118.71 Sn.upf
Pd 106.42 Pd.upf
ATOMIC_POSITIONS crystal
Re 0.0000 0.5000 0.0000
Re 0.5000 0.0000 0.0000
Ag 0.0000 0.0000 0.5000
Sn 0.5000 0.5000 0.5000
Pd 0.0000 0.0000 0.0000
CELL_PARAMETERS angstrom
4.7749 0.0000 0.0000
0.0000 4.7749 0.0000
0.0000 0.0000 4.9675



! TlReAg2Pd | the Alexandria database | PBE | relaxed; values from VASP
! Volume ... 25.26 Å³ per atom
! E_form ... 117.0 kJ per mole of atoms
! Total magnetization ... 2.51 μB per cell
&SYSTEM
  ibrav = 0, nat = 5, ntyp = 4
/
ATOMIC_SPECIES
Tl 204.38 Tl.upf
Re 186.21 Re.upf
Ag 107.87 Ag.upf
Pd 106.42 Pd.upf
ATOMIC_POSITIONS crystal
Tl 0.0000 0.0000 0.0000
Re 0.5000 0.5000 0.0000
Ag 0.0000 0.5000 0.5000
Ag 0.5000 0.0000 0.5000
Pd 0.5000 0.5000 0.5000
CELL_PARAMETERS angstrom
5.1258 0.0000 0.0000
0.0000 5.1258 0.0000
0.0000 0.0000 4.8072



! AgPdRh | the Alexandria database | PBE | relaxed; values from VASP
! Excess energy over the best structure of this formula in the dataset ... 107 meV/atom
! Volume ... 15.84 Å³ per atom
! E_form ... 14.3 kJ per mole of atoms
! Total magnetization ... 1.35 μB per cell
&SYSTEM
  ibrav = 0, nat = 3, ntyp = 3
/
ATOMIC_SPECIES
Ag 107.87 Ag.upf
Pd 106.42 Pd.upf
Rh 102.91 Rh.upf
ATOMIC_POSITIONS crystal
Ag 0.0000 0.0000 0.0000
Pd 0.6734 0.6734 0.0000
Rh 0.3276 0.3276 0.0000
CELL_PARAMETERS angstrom
-1.3959 1.3959 6.0949
1.3959 -1.3959 6.0949
1.3959 1.3959 -6.0949



! Ag2Pd2Rh | the Alexandria database | PBE | relaxed; values from VASP
! Volume ... 17.11 Å³ per atom
! E_form ... 37.1 kJ per mole of atoms
! Total magnetization ... 2.56 μB per cell
&SYSTEM
  ibrav = 0, nat = 10, ntyp = 3
/
ATOMIC_SPECIES
Ag 107.87 Ag.upf
Pd 106.42 Pd.upf
Rh 102.91 Rh.upf
ATOMIC_POSITIONS crystal
Ag 0.1708 0.3292 0.0000
Ag 0.3292 0.8292 0.0000
Ag 0.6708 0.1708 0.0000
Ag 0.8292 0.6708 0.0000
Pd 0.1271 0.6271 0.5000
Pd 0.3729 0.1271 0.5000
Pd 0.6271 0.8729 0.5000
Pd 0.8729 0.3729 0.5000
Rh 0.0000 0.0000 0.5000
Rh 0.5000 0.5000 0.5000
CELL_PARAMETERS angstrom
7.7339 0.0000 0.0000
0.0000 7.7339 0.0000
0.0000 0.0000 2.8604



! Ag2PdRh | the Alexandria database | PBE | relaxed; values from VASP
! Excess energy over the best structure of this formula in the dataset ... 5 meV/atom
! Volume ... 17.03 Å³ per atom
! E_form ... 27.4 kJ per mole of atoms
! Total magnetization ... 0.90 μB per cell
&SYSTEM
  ibrav = 0, nat = 4, ntyp = 3
/
ATOMIC_SPECIES
Ag 107.87 Ag.upf
Pd 106.42 Pd.upf
Rh 102.91 Rh.upf
ATOMIC_POSITIONS crystal
Ag 0.0888 0.0888 0.0888
Ag 0.9112 0.9112 0.9112
Pd 0.5000 0.5000 0.5000
Rh 0.0000 0.0000 0.0000
CELL_PARAMETERS angstrom
1.3851 0.7997 10.2510
-1.3851 0.7997 10.2510
0.0000 -1.5994 10.2510